1.
Entry from Alexandria: crystalline DyTh4Te5 at its relaxed geometry (PBE). Values from VASP.

```
&SYSTEM
  ibrav = 0, nat = 10, ntyp = 3
/
ATOMIC_SPECIES
Te 127.60 Te.upf
Th 232.04 Th.upf
Dy 162.50 Dy.upf
CELL_PARAMETERS angstrom
3.8439 0.0000 0.0000
0.0000 3.8439 0.0000
0.0000 0.0000 19.1528
ATOMIC_POSITIONS crystal
Te 0.5000 0.5000 0.2985
Te 0.5000 0.5000 0.9021
Th 0.0000 0.0000 0.6010
Th 0.0000 0.0000 0.1975
Te 0.5000 0.5000 0.5000
Th 0.0000 0.0000 0.8025
Dy 0.0000 0.0000 0.0000
Th 0.0000 0.0000 0.3990
Te 0.5000 0.5000 0.7015
Te 0.5000 0.5000 0.0979
```

Output
- crystal system = tetragonal
- N(E_F) (states/eV per atom) = 0.836
- E_form (uncorrected) (kJ per mole of atoms) = -106.6

---

2.
Entry from Alexandria: crystalline SrBeAg2 at its relaxed geometry (PBE). Values from VASP.

```
&SYSTEM
  ibrav = 0, nat = 4, ntyp = 3
/
ATOMIC_SPECIES
Sr 87.62 Sr.upf
Ag 107.87 Ag.upf
Be 9.01 Be.upf
CELL_PARAMETERS angstrom
-3.0384 1.3477 -3.6954
0.9269 -1.4932 -4.6493
-2.9390 -3.3779 -2.1579
ATOMIC_POSITIONS crystal
Sr 0.7500 0.7500 0.7500
Ag 0.0000 0.0000 0.0000
Ag 0.2500 0.2500 0.2500
Be 0.5000 0.5000 0.5000
```

Output
- crystal system = cubic
- N(E_F) (states/eV per atom) = 0.471
- formation energy (eV per atom) = 0.288

---

3.
Entry from Alexandria: crystalline Tb3ErPt at its relaxed geometry (PBE). Values from VASP.

```
&SYSTEM
  ibrav = 0, nat = 10, ntyp = 3
/
ATOMIC_SPECIES
Pt 195.08 Pt.upf
Tb 158.93 Tb.upf
Er 167.26 Er.upf
CELL_PARAMETERS angstrom
6.0463 -0.0001 -0.0001
0.0003 6.7247 -0.0016
0.0000 0.0004 7.6431
ATOMIC_POSITIONS crystal
Pt 0.6829 0.6810 0.2008
Tb 0.4234 0.8784 0.9541
Tb 0.9234 0.4744 0.9474
Tb 0.4233 0.8784 0.4474
Tb 0.9190 0.0236 0.7007
Tb 0.4190 0.3292 0.2009
Er 0.9294 0.0328 0.2006
Tb 0.9233 0.4744 0.4542
Pt 0.1830 0.6717 0.7008
Er 0.4294 0.3200 0.7008
```

Output
- crystal system = orthorhombic
- N(E_F) (states/eV per atom) = 1.173
- formation energy (eV per atom) = -0.411

---

4.
Entry from Alexandria: crystalline Nd3Er2Mg at its relaxed geometry (PBE). Values from VASP.

```
&SYSTEM
  ibrav = 0, nat = 12, ntyp = 3
/
ATOMIC_SPECIES
Nd 144.24 Nd.upf
Er 167.26 Er.upf
Mg 24.30 Mg.upf
CELL_PARAMETERS angstrom
3.6906 0.0000 0.0000
0.0000 11.4294 -1.7774
-1.8453 -4.7672 9.8344
ATOMIC_POSITIONS crystal
Nd 0.7467 0.8646 0.4934
Er 0.9423 0.8164 0.8846
Nd 0.0722 0.7221 0.1444
Er 0.0577 0.1836 0.1154
Mg 0.4042 0.0059 0.8084
Er 0.2795 0.6460 0.5590
Nd 0.2533 0.1354 0.5066
Er 0.7205 0.3540 0.4410
Nd 0.6068 0.4871 0.2136
Mg 0.5958 0.9941 0.1916
Nd 0.9278 0.2779 0.8556
Nd 0.3932 0.5129 0.7864
```

Output
- crystal system = monoclinic
- N(E_F) (states/eV per atom) = 1.237
- offset from the most stable computed form (eV/atom) = 0.0203
- formation energy (eV per atom) = 0.006

---

5.
Entry from Alexandria: crystalline CaY2ScTl4 at its relaxed geometry (PBE). Values from VASP.

```
&SYSTEM
  ibrav = 0, nat = 8, ntyp = 4
/
ATOMIC_SPECIES
Ca 40.08 Ca.upf
Y 88.91 Y.upf
Tl 204.38 Tl.upf
Sc 44.96 Sc.upf
CELL_PARAMETERS angstrom
5.3363 0.0000 0.0000
2.6681 4.6214 0.0000
2.6681 1.5405 8.7185
ATOMIC_POSITIONS crystal
Ca 0.0000 0.0000 0.0000
Y 0.7491 0.7491 0.7528
Tl 0.1277 0.1277 0.6169
Y 0.2509 0.2509 0.2472
Tl 0.3786 0.3786 0.8642
Sc 0.5000 0.5000 0.5000
Tl 0.6214 0.6214 0.1358
Tl 0.8723 0.8723 0.3831
```

Output
- crystal system = trigonal
- N(E_F) (states/eV per atom) = 0.703
- formation energy (eV per atom) = -0.338

---

6.
Entry from Alexandria: crystalline EuSi2Ir2 at its relaxed geometry (PBE). Values from VASP.

```
&SYSTEM
  ibrav = 0, nat = 5, ntyp = 3
/
ATOMIC_SPECIES
Si 28.09 Si.upf
Eu 151.96 Eu.upf
Ir 192.22 Ir.upf
CELL_PARAMETERS angstrom
-0.9547 3.7586 1.3928
-1.7856 -1.6819 3.3107
5.8165 -0.8353 0.1504
ATOMIC_POSITIONS crystal
Si 0.6263 0.6263 0.2527
Eu 0.0001 0.0000 0.0000
Ir 0.2500 0.7501 0.5000
Si 0.3737 0.3737 0.7473
Ir 0.7501 0.2500 0.5000
```

Output
- crystal system = tetragonal
- N(E_F) (states/eV per atom) = 0.485
- E_form (uncorrected) (kJ per mole of atoms) = -92.4